Entry 1:
Computed, not measured: a geometry-optimized Fe21B6Os2 structure at the PBE level of DFT.

Calculated values
Formation energy = -0.1649 eV per atom
Crystal system = cubic

Cell lengths 10.5664, 10.5664, 10.5664 Å; angles 90.00, 90.00, 90.00 degrees
With the nearest neighbours (Å) after each atom.
Space group Fm-3m (No. 225)
Symmetry-distinct sites (fractional):
Fe (0.0000, 0.0000, 0.0000) x4  12 Fe 2.56
Fe (0.0000, 0.1713, 0.1713) x48  2 B 2.13, 1 Fe 2.35
Fe (0.1185, 0.1185, 0.3815) x32  3 B 2.08
B (0.0000, 0.0000, 0.2774) x24  8 Fe 2.08-2.13
Os (0.2500, 0.2500, 0.2500) x8  4 Fe 2.41

Entry 2:
Computed, not measured: a geometry-optimized FeBOs structure at the PBE level of DFT.

Calculated values
Formation energy = 0.2082 eV per atom
Crystal system = tetragonal

Cell lengths 2.5858, 2.5858, 18.7674 Å; angles 90.00, 90.00, 90.00 degrees
With the nearest neighbours (Å) after each atom.
Space group I4/mmm (No. 139)
Symmetry-distinct sites (fractional):
Fe (0.0000, 0.0000, 0.1667) x4  5 B 2.04-2.13
B (0.0000, 0.0000, 0.2756) x4  5 Fe 2.04-2.13, 4 B 2.07
Os (0.0000, 0.0000, 0.4327) x4  5 Os 2.53-2.59, 4 Fe 2.61

Entry 3:
Computed, not measured: a geometry-optimized FeBOs3 structure at the PBE level of DFT.

Calculated values
Formation energy = 2.6308 eV per atom
Polymorph energy (0 for the lowest one) = 2096.9 meV/atom
Crystal system = cubic

Cell lengths 4.3755, 4.3755, 4.3755 Å; angles 90.00, 90.00, 90.00 degrees
With the nearest neighbours (Å) after each atom.
Space group Pm-3m (No. 221)
Symmetry-distinct sites (fractional):
Fe (0.0000, 0.0000, 0.0000) x1  6 Os 2.19
B (0.5000, 0.5000, 0.5000) x1  12 Os 3.09
Os (0.0000, 0.0000, 0.5000) x3  2 Fe 2.19

Entry 4:
Computed, not measured: a geometry-optimized FeBOs2 structure at the PBE level of DFT.

Calculated values
Formation energy = 0.9653 eV per atom
Crystal system = tetragonal

Cell lengths 5.0023, 5.0023, 9.7556 Å; angles 90.00, 90.00, 90.00 degrees
With the nearest neighbours (Å) after each atom.
Space group I-42d (No. 122)
Symmetry-distinct sites (fractional):
Fe (0.0000, 0.0000, 0.0000) x4  4 Os 2.25
B (0.0000, 0.0000, 0.5000) x4  4 Os 2.05
Os (0.2150, 0.2500, 0.6250) x8  2 B 2.05, 2 Fe 2.25

Entry 5:
Computed, not measured: a geometry-optimized FeBOs3 structure at the PBE level of DFT.

Calculated values
Formation energy = 0.5339 eV per atom
Polymorph energy (0 for the lowest one) = 0.0 meV/atom
Crystal system = cubic

Cell lengths 4.0181, 4.0181, 4.0181 Å; angles 90.00, 90.00, 90.00 degrees
With the nearest neighbours (Å) after each atom.
Space group Pm-3m (No. 221)
Symmetry-distinct sites (fractional):
Fe (0.0000, 0.0000, 0.0000) x1  12 Os 2.84
B (0.5000, 0.5000, 0.5000) x1  6 Os 2.01
Os (0.0000, 0.5000, 0.5000) x3  2 B 2.01

Entry 6:
Computed, not measured: a geometry-optimized FeBOs2 structure at the PBE level of DFT.

Calculated values
Formation energy = 0.2092 eV per atom
Crystal system = trigonal

Cell lengths 2.7686, 2.7686, 21.5988 Å; angles 90.00, 90.00, 120.00 degrees
With the nearest neighbours (Å) after each atom.
Space group R3m (No. 160, hexagonal axes)
Symmetry-distinct sites (fractional):
Fe (0.0000, 0.0000, 0.0000) x3  6 Os 2.61-2.65, 6 Fe 2.77
B (0.0000, 0.0000, 0.8347) x3  6 Os 2.19-2.20
Os (0.0000, 0.0000, 0.2376) x3  3 B 2.19
Os (0.0000, 0.0000, 0.4311) x3  3 B 2.20

Entry 7:
Computed, not measured: a geometry-optimized FeB2Os2 structure at the PBE level of DFT.

Calculated values
Formation energy = 0.0512 eV per atom
Crystal system = tetragonal

Cell lengths 6.0983, 6.0983, 2.8106 Å; angles 90.00, 90.00, 90.00 degrees
With the nearest neighbours (Å) after each atom.
Space group P4/mbm (No. 127)
Symmetry-distinct sites (fractional):
Fe (0.0000, 0.0000, 0.0000) x2  4 B 2.35
B (0.1410, 0.3590, 0.0000) x4  6 Os 2.24-2.29, 2 Fe 2.35, 1 B 2.43
Os (0.1560, 0.6560, 0.5000) x4  6 B 2.24-2.29

Entry 8:
Computed, not measured: a geometry-optimized Pa2Fe3B12Os structure at the PBE level of DFT.

Calculated values
Formation energy = 0.0149 eV per atom
Crystal system = trigonal

Cell lengths 5.5855, 5.5855, 22.0928 Å; angles 90.00, 90.00, 120.00 degrees
With the nearest neighbours (Å) after each atom.
Space group R-3m (No. 166, hexagonal axes)
Symmetry-distinct sites (fractional):
Pa (0.0000, 0.0000, 0.1355) x6  6 B 2.61-2.92
Fe (0.0000, 0.5000, 0.0000) x9  6 B 2.11-2.13
B (0.0499, 0.5250, 0.0956) x18  2 B 1.70
B (0.1071, 0.2143, 0.7375) x18  4 B 1.70-1.80
Os (0.0000, 0.0000, 0.5000) x3  6 B 2.08